1.
A plane-wave DFT calculation with PBE was carried out for crystalline PmPu4Hg5 at its relaxed geometry.

Results
As for the symmetry: P4/mmm (123). The density of states at the Fermi level comes out at 21.13 states/eV/cell. The value obtained for the formation energy is 0.018 eV per atom.

```
data_PmPu4Hg5
_chemical_formula_sum 'Pm1 Pu4 Hg5'
_space_group_name_H-M_alt 'P 1'
_space_group_IT_number 1
_cell_length_a 3.189
_cell_length_b 3.189
_cell_length_c 25.259
_cell_angle_alpha 90.00
_cell_angle_beta 90.00
_cell_angle_gamma 90.00
loop_
_space_group_symop_operation_xyz
'x,y,z'
loop_
_atom_site_label
_atom_site_type_symbol
_atom_site_fract_x
_atom_site_fract_y
_atom_site_fract_z
_atom_site_occupancy
Pm1 Pm 0.000 0.000 0.000 1
Pu1 Pu 0.000 0.000 0.711 1
Pu2 Pu 0.000 0.000 0.808 1
Pu3 Pu 0.000 0.000 0.192 1
Pu4 Pu 0.000 0.000 0.289 1
Hg1 Hg 0.500 0.500 0.385 1
Hg2 Hg 0.500 0.500 0.904 1
Hg3 Hg 0.500 0.500 0.500 1
Hg4 Hg 0.500 0.500 0.096 1
Hg5 Hg 0.500 0.500 0.615 1
```

=====

2.
A plane-wave DFT calculation with PBE was carried out for crystalline PmPuHg3 at its relaxed geometry.

Results
As for the symmetry: P2_1/c (14). The density of states at the Fermi level comes out at 47.35 states/eV/cell. Its energy above the most stable polymorph in this dataset is 54 meV/atom. The value obtained for the formation energy is -0.230 eV per atom.

```
data_PmPuHg3
_chemical_formula_sum 'Pm4 Pu4 Hg12'
_space_group_name_H-M_alt 'P 1'
_space_group_IT_number 1
_cell_length_a 6.598
_cell_length_b 8.271
_cell_length_c 10.290
_cell_angle_alpha 111.27
_cell_angle_beta 90.00
_cell_angle_gamma 90.00
loop_
_space_group_symop_operation_xyz
'x,y,z'
loop_
_atom_site_label
_atom_site_type_symbol
_atom_site_fract_x
_atom_site_fract_y
_atom_site_fract_z
_atom_site_occupancy
Pm1 Pm 0.327 0.642 0.452 1
Pm2 Pm 0.673 0.358 0.548 1
Pm3 Pm 0.173 0.142 0.952 1
Pm4 Pm 0.827 0.858 0.048 1
Pu1 Pu 0.613 0.526 0.141 1
Pu2 Pu 0.113 0.974 0.359 1
Pu3 Pu 0.387 0.474 0.859 1
Pu4 Pu 0.887 0.026 0.641 1
Hg1 Hg 0.157 0.358 0.570 1
Hg2 Hg 0.343 0.858 0.070 1
Hg3 Hg 0.419 0.242 0.252 1
Hg4 Hg 0.919 0.258 0.248 1
Hg5 Hg 0.581 0.758 0.748 1
Hg6 Hg 0.843 0.642 0.430 1
Hg7 Hg 0.614 0.936 0.355 1
Hg8 Hg 0.386 0.064 0.645 1
Hg9 Hg 0.657 0.142 0.930 1
Hg10 Hg 0.081 0.742 0.752 1
Hg11 Hg 0.886 0.436 0.855 1
Hg12 Hg 0.114 0.564 0.145 1
```

=====

3.
A plane-wave DFT calculation with PBE was carried out for crystalline Pm2PuHg3 at its relaxed geometry.

Results
As for the symmetry: P4/mmm (123). The density of states at the Fermi level comes out at 11.88 states/eV/cell. The value obtained for the formation energy is -0.349 eV per atom.

```
data_Pm2PuHg3
_chemical_formula_sum 'Pm2 Pu1 Hg3'
_space_group_name_H-M_alt 'P 1'
_space_group_IT_number 1
_cell_length_a 3.789
_cell_length_b 3.789
_cell_length_c 11.418
_cell_angle_alpha 90.00
_cell_angle_beta 90.00
_cell_angle_gamma 90.00
loop_
_space_group_symop_operation_xyz
'x,y,z'
loop_
_atom_site_label
_atom_site_type_symbol
_atom_site_fract_x
_atom_site_fract_y
_atom_site_fract_z
_atom_site_occupancy
Pm1 Pm 0.500 0.500 0.833 1
Pm2 Pm 0.500 0.500 0.167 1
Pu1 Pu 0.500 0.500 0.500 1
Hg1 Hg 0.000 0.000 0.000 1
Hg2 Hg 0.000 0.000 0.668 1
Hg3 Hg 0.000 0.000 0.332 1
```

=====

4.
A plane-wave DFT calculation with PBE was carried out for crystalline PmPuHg2 at its relaxed geometry.

Results
As for the symmetry: P4/mmm (123). The density of states at the Fermi level comes out at 10.81 states/eV/cell. Its energy above the most stable polymorph in this dataset is 0 meV/atom. The value obtained for the formation energy is -0.291 eV per atom.

```
data_PmPuHg2
_chemical_formula_sum 'Pm1 Pu1 Hg2'
_space_group_name_H-M_alt 'P 1'
_space_group_IT_number 1
_cell_length_a 3.796
_cell_length_b 5.360
_cell_length_c 5.360
_cell_angle_alpha 90.00
_cell_angle_beta 90.00
_cell_angle_gamma 90.00
loop_
_space_group_symop_operation_xyz
'x,y,z'
loop_
_atom_site_label
_atom_site_type_symbol
_atom_site_fract_x
_atom_site_fract_y
_atom_site_fract_z
_atom_site_occupancy
Pm1 Pm 0.500 0.000 0.000 1
Hg1 Hg 0.000 0.000 0.500 1
Hg2 Hg 0.000 0.500 0.000 1
Pu1 Pu 0.500 0.500 0.500 1
```